No. 1
# Ni2HgBr PBE optimized geometry
# E_tot = -41.71 eV per cell
# crystal system = cubic
data_Ni2HgBr
_space_group_name_H-M_alt 'F -4 3 m'
_space_group_IT_number 216
_space_group_name_Hall 'F -4 2 3'
_cell_length_a 6.5350
_cell_length_b 6.5350
_cell_length_c 6.5350
_cell_angle_alpha 90.00
_cell_angle_beta 90.00
_cell_angle_gamma 90.00
loop_
_atom_site_label
_atom_site_type_symbol
_atom_site_fract_x
_atom_site_fract_y
_atom_site_fract_z
Ni1 Ni 0.0000 0.0000 0.0000
Ni2 Ni 0.2500 0.2500 0.2500
Hg1 Hg 0.2500 0.2500 0.7500
Br1 Br 0.0000 0.0000 0.5000

No. 2
# Ni2HgBr PBE optimized geometry
# E_tot = -45.04 eV per cell
# crystal system = cubic
data_Ni2HgBr
_space_group_name_H-M_alt 'F m -3 m'
_space_group_IT_number 225
_space_group_name_Hall '-F 4 2 3'
_cell_length_a 6.4255
_cell_length_b 6.4255
_cell_length_c 6.4255
_cell_angle_alpha 90.00
_cell_angle_beta 90.00
_cell_angle_gamma 90.00
loop_
_atom_site_label
_atom_site_type_symbol
_atom_site_fract_x
_atom_site_fract_y
_atom_site_fract_z
Ni1 Ni 0.2500 0.2500 0.2500
Hg1 Hg 0.0000 0.0000 0.0000
Br1 Br 0.0000 0.0000 0.5000

Number 1 is which compound? Ni2HgBr

What is the formula in the first record? Ni2HgBr

Please write out number 2 again, unchanged.
# Ni2HgBr PBE optimized geometry
# E_tot = -45.04 eV per cell
# crystal system = cubic
data_Ni2HgBr
_space_group_name_H-M_alt 'F m -3 m'
_space_group_IT_number 225
_space_group_name_Hall '-F 4 2 3'
_cell_length_a 6.4255
_cell_length_b 6.4255
_cell_length_c 6.4255
_cell_angle_alpha 90.00
_cell_angle_beta 90.00
_cell_angle_gamma 90.00
loop_
_atom_site_label
_atom_site_type_symbol
_atom_site_fract_x
_atom_site_fract_y
_atom_site_fract_z
Ni1 Ni 0.2500 0.2500 0.2500
Hg1 Hg 0.0000 0.0000 0.0000
Br1 Br 0.0000 0.0000 0.5000